{
  "formula": "TlVS3",
  "functional": "PBE",
  "state": "relaxed",
  "magmom_total_mub_per_cell": 1.941,
  "e_form_raw_mev_per_atom": 953.0,
  "cell": [[-0.368, 3.666, 3.484], [-1.705, -3.379, 3.375], [4.762, -0.926, 1.477]],
  "species": ["S", "S", "S", "V", "Tl"],
  "fractional_positions": [[0.000, 0.000, 0.500], [0.000, 0.500, 0.000], [0.500, 0.000, 0.000], [0.500, 0.500, 0.500], [0.000, 0.000, 0.000]]
}



{
  "formula": "YTi3Te",
  "functional": "PBE",
  "state": "relaxed",
  "magmom_total_mub_per_cell": 0.661,
  "e_form_raw_mev_per_atom": 416.7,
  "cell": [[5.041, 0.000, 0.000], [0.000, 5.041, 0.000], [0.000, 0.000, 5.041]],
  "species": ["Ti", "Te", "Y", "Ti", "Ti"],
  "fractional_positions": [[0.000, 0.500, 0.000], [0.000, 0.000, 0.000], [0.500, 0.500, 0.500], [0.500, 0.000, 0.000], [0.000, 0.000, 0.500]]
}



{
  "formula": "NaNi3As",
  "functional": "PBE",
  "state": "relaxed",
  "final_energy_ev_per_cell": -22.1,
  "magmom_total_mub_per_cell": 0.001,
  "cell": [[4.431, 0.000, 0.000], [0.000, 4.431, 0.000], [0.000, 0.000, 4.431]],
  "species": ["Ni", "As", "Ni", "Na", "Ni"],
  "fractional_positions": [[0.500, 0.000, 0.000], [0.000, 0.000, 0.000], [0.000, 0.500, 0.000], [0.500, 0.500, 0.500], [0.000, 0.000, 0.500]]
}



{
  "formula": "ZrPa2Ti",
  "functional": "PBE",
  "state": "relaxed",
  "final_energy_ev_per_cell": -34.9,
  "magmom_total_mub_per_cell": 0.000,
  "cell": [[4.971, 0.000, 0.000], [0.000, 4.277, 0.000], [0.000, 0.000, 4.277]],
  "species": ["Ti", "Pa", "Pa", "Zr"],
  "fractional_positions": [[0.500, 0.000, 0.000], [0.000, 0.000, 0.500], [0.000, 0.500, 0.000], [0.500, 0.500, 0.500]]
}